No. 1
Sr2YTc | PBE | relaxed

Formation energy   39 kJ/mol of atoms

Lattice parameters (Å, degrees): 9.4485 9.4485 9.4485 158.53 152.04 35.52
Element x y z (fractional)
Sr (0.1560, 0.1560, 0.0000)
Sr (0.8440, 0.8440, 0.0000)
Y (0.5000, 0.0000, 0.5000)
Tc (0.0000, 0.5000, 0.5000)

No. 2
Li2CdF | PBE | relaxed

Uncorrected formation energy   -0.803 eV per atom

Lattice parameters (Å, degrees): 4.5871 4.5871 4.5871 60.00 60.00 60.00
Element x y z (fractional)
Li (0.2500, 0.2500, 0.2500)
Li (0.7500, 0.7500, 0.7500)
Cd (0.0000, 0.0000, 0.0000)
F (0.5000, 0.5000, 0.5000)

No. 3
LiYZn2 | PBE | relaxed

Formation energy   26 kJ/mol of atoms

Lattice parameters (Å, degrees): 6.2163 6.2163 6.2163 151.27 135.21 54.08
Element x y z (fractional)
Li (0.0000, 0.0000, 0.0000)
Y (0.5000, 0.5000, 0.0000)
Zn (0.2164, 0.2164, 0.0000)
Zn (0.7836, 0.7836, 0.0000)

No. 4
ZnCu | PBE | relaxed

Formation energy   43 kJ/mol of atoms

Lattice parameters (Å, degrees): 4.7514 4.7514 4.7514 90.00 90.00 90.00
Element x y z (fractional)
Zn (0.0000, 0.0000, 0.5000)
Zn (0.0000, 0.5000, 0.0000)
Zn (0.5000, 0.0000, 0.0000)
Cu (0.0000, 0.5000, 0.5000)
Cu (0.5000, 0.0000, 0.5000)
Cu (0.5000, 0.5000, 0.0000)

No. 5
CePdRu | PBE | relaxed

Formation energy   -23 kJ/mol of atoms

Lattice parameters (Å, degrees): 4.3678 4.3678 3.7478 90.00 90.00 120.00
Element x y z (fractional)
Ce (0.0000, 0.0000, 0.0000)
Pd (0.3333, 0.6667, 0.5000)
Ru (0.6667, 0.3333, 0.5000)

No. 6
PmTm4Tl7 | PBE | relaxed

Formation energy   -8 kJ/mol of atoms

Lattice parameters (Å, degrees): 7.2730 7.2730 11.3164 120.88 120.88 46.37
Element x y z (fractional)
Pm (0.0000, 0.0000, 0.0000)
Tm (0.2821, 0.2821, 0.6723)
Tm (0.4160, 0.4160, 0.2170)
Tm (0.5840, 0.5840, 0.7830)
Tm (0.7179, 0.7179, 0.3277)
Tl (0.0797, 0.0797, 0.3319)
Tl (0.2137, 0.2137, 0.8938)
Tl (0.3642, 0.3642, 0.4518)
Tl (0.5000, 0.5000, 0.0000)
Tl (0.6358, 0.6358, 0.5482)
Tl (0.7863, 0.7863, 0.1062)
Tl (0.9203, 0.9203, 0.6681)

No. 7
As2HPd | PBE | relaxed

Lattice parameters (Å, degrees): 5.3468 5.3468 5.3468 111.25 111.25 105.97
Element x y z (fractional)
As (0.0523, 0.6250, 0.9273)
As (0.3750, 0.3023, 0.4273)
As (0.6977, 0.1250, 0.0727)
As (0.8750, 0.9477, 0.5727)
H (0.0000, 0.0000, 0.0000)
H (0.7500, 0.2500, 0.5000)
Pd (0.2500, 0.7500, 0.5000)
Pd (0.5000, 0.5000, 0.0000)

No. 8
PrSbPbAu | PBE | relaxed

Uncorrected formation energy   -0.475 eV per atom

Lattice parameters (Å, degrees): 5.3846 5.3846 5.3846 60.00 60.00 60.00
Element x y z (fractional)
Pr (0.0000, 0.0000, 0.0000)
Sb (0.7500, 0.7500, 0.7500)
Pb (0.5000, 0.5000, 0.5000)
Au (0.2500, 0.2500, 0.2500)

No. 9
NaInRhSe3 | PBE | relaxed

Uncorrected formation energy   -0.537 eV per atom

Lattice parameters (Å, degrees): 7.8123 3.7916 10.3124 90.00 110.13 90.00
Element x y z (fractional)
Na (0.1997, 0.2500, 0.2249)
Na (0.8003, 0.7500, 0.7751)
In (0.1629, 0.2500, 0.6497)
In (0.8371, 0.7500, 0.3503)
Rh (0.3280, 0.7500, 0.8758)
Rh (0.6720, 0.2500, 0.1242)
Se (0.1281, 0.2500, 0.9119)
Se (0.2068, 0.7500, 0.4699)
Se (0.4696, 0.7500, 0.1424)
Se (0.5304, 0.2500, 0.8576)
Se (0.7932, 0.2500, 0.5301)
Se (0.8719, 0.7500, 0.0881)

No. 10
LiLaGe | PBE | relaxed

Formation energy   -65 kJ/mol of atoms

Lattice parameters (Å, degrees): 4.5675 4.5675 7.8309 90.00 90.00 120.00
Element x y z (fractional)
Li (0.3333, 0.6667, 0.2500)
Li (0.6667, 0.3333, 0.7500)
La (0.0000, 0.0000, 0.0000)
La (0.0000, 0.0000, 0.5000)
Ge (0.3333, 0.6667, 0.7500)
Ge (0.6667, 0.3333, 0.2500)

No. 11
NdEr2Ni | PBE | relaxed

Formation energy   -19 kJ/mol of atoms

Lattice parameters (Å, degrees): 3.4227 3.4227 8.7805 90.00 90.00 90.00
Element x y z (fractional)
Nd (0.0000, 0.0000, 0.0000)
Er (0.5000, 0.5000, 0.3186)
Er (0.5000, 0.5000, 0.6814)
Ni (0.0000, 0.0000, 0.5000)

No. 12
ThZnRh | PBE | relaxed

Formation energy   -73 kJ/mol of atoms

Lattice parameters (Å, degrees): 7.4134 3.9641 12.5081 90.00 90.13 90.00
Element x y z (fractional)
Th (0.0566, 0.2500, 0.3740)
Th (0.1754, 0.2500, 0.0803)
Th (0.4356, 0.7500, 0.7127)
Th (0.5644, 0.2500, 0.2873)
Th (0.8246, 0.7500, 0.9197)
Th (0.9434, 0.7500, 0.6260)
Zn (0.1110, 0.2500, 0.7969)
Zn (0.3838, 0.7500, 0.4592)
Zn (0.4933, 0.2500, 0.9207)
Zn (0.5067, 0.7500, 0.0793)
Zn (0.6162, 0.2500, 0.5408)
Zn (0.8890, 0.7500, 0.2031)
Rh (0.2365, 0.2500, 0.5817)
Rh (0.2413, 0.7500, 0.9172)
Rh (0.2653, 0.7500, 0.2471)
Rh (0.7347, 0.2500, 0.7529)
Rh (0.7587, 0.2500, 0.0828)
Rh (0.7635, 0.7500, 0.4183)

no.,raw total energy (eV/f.u.)
1,-18.566
2,-9.825
3,-9.842
4,-4.474
5,-21.112
6,-40.141
7,-16.788
8,-17.786
9,-25.083
10,-13.473
11,-20.478
12,-18.301